# CdFeS3, optimized geometry, DFT PBE-GGA
data_CdFeS3
_cell_length_a 4.551
_cell_length_b 4.551
_cell_length_c 4.551
_cell_angle_alpha 90.00
_cell_angle_beta 90.00
_cell_angle_gamma 90.00
_symmetry_space_group_name_H-M 'P m -3 m'
_symmetry_Int_Tables_number 221
_symmetry_space_group_name_Hall '-P 4 2 3'
loop_
_atom_site_label
_atom_site_type_symbol
_atom_site_fract_x
_atom_site_fract_y
_atom_site_fract_z
Cd1 Cd 0.000 0.000 0.000
Fe1 Fe 0.500 0.500 0.500
S1 S 0.000 0.500 0.500
# Energy above the lowest structure with this stoichiometry, meV per atom: 0.0
# Formation energy without anion corrections, eV/atom: 0.17